The following is a DFT calculation (PBE-GGA) of a relaxed BeFe2PAu crystal.

Calculated values
The total energy is -25.43 eV/cell. For the formation energy, the calculation gives 782 meV/atom.

Cell lengths 4.044, 3.817, 4.044 Å; angles 90.00, 90.00, 90.00 degrees
Positions (direct):
P: 0.000 0.500 0.000
Au: 0.500 0.500 0.500
Fe: 0.000 0.000 0.500
Fe: 0.500 0.000 0.000
Be: 0.000 0.000 0.000